(1)
# Hf4Ni2CN

A relaxed structure of Hf4Ni2CN (PBE, the Open Quantum Materials Database).

Computed properties:
Final energy = -9.3095 eV/atom
Total magnetic moment = 0.0 μB per formula unit

a b c (Å): 3.2296 3.2296 12.9588
angles (deg): 90.00 90.00 120.00
Fractional coordinates of all 8 atoms:
Hf (0.3333, 0.6667, 0.1020)
Hf (0.3333, 0.6667, 0.3973)
Hf (0.6667, 0.3333, 0.6027)
Hf (0.6667, 0.3333, 0.8980)
Ni (0.3333, 0.6667, 0.7468)
Ni (0.6667, 0.3333, 0.2532)
C (0.0000, 0.0000, 0.0000)
N (0.0000, 0.0000, 0.5000)

***

(2)
# Ac2Ga5Pd3

A relaxed structure of Ac2Ga5Pd3 (PBE, the Open Quantum Materials Database).

Computed properties:
Final energy = -4.6612 eV/atom
Total magnetic moment = 0.0 μB per formula unit

a b c (Å): 8.9314 8.9314 8.9314
angles (deg): 106.85 86.51 140.44
Fractional coordinates of all 20 atoms:
Ac (0.1330, 0.2279, 0.3609)
Ac (0.3670, 0.7279, 0.0949)
Ac (0.6330, 0.2721, 0.9051)
Ac (0.8670, 0.7721, 0.6391)
Ga (0.0315, 0.7500, 0.2815)
Ga (0.1035, 0.6519, 0.7555)
Ga (0.2500, 0.2500, 0.0000)
Ga (0.3965, 0.1519, 0.5484)
Ga (0.4685, 0.7500, 0.7185)
Ga (0.5315, 0.2500, 0.2815)
Ga (0.6035, 0.8481, 0.4516)
Ga (0.7500, 0.7500, 0.0000)
Ga (0.8965, 0.3481, 0.2445)
Ga (0.9685, 0.2500, 0.7185)
Pd (0.1392, 0.8946, 0.0338)
Pd (0.2500, 0.7500, 0.5000)
Pd (0.3608, 0.3946, 0.7555)
Pd (0.6392, 0.6054, 0.2445)
Pd (0.7500, 0.2500, 0.5000)
Pd (0.8608, 0.1054, 0.9662)

***

(3)
# U3Al

A relaxed structure of U3Al (PBE, the Open Quantum Materials Database).

Computed properties:
Final energy = -9.2843 eV/atom
Total magnetic moment = 0.2 μB per formula unit

a b c (Å): 6.0908 6.0908 4.9722
angles (deg): 90.00 90.00 120.00
Fractional coordinates of all 8 atoms:
U (0.1761, 0.3523, 0.2500)
U (0.1761, 0.8239, 0.2500)
U (0.3523, 0.1761, 0.7500)
U (0.6477, 0.8239, 0.2500)
U (0.8239, 0.1761, 0.7500)
U (0.8239, 0.6477, 0.7500)
Al (0.3333, 0.6667, 0.7500)
Al (0.6667, 0.3333, 0.2500)

***

For each record above, in turn, the calculated ρ values are 12.16 8.90 15.41 g/cm³.